1.
DFT (GGA-PBE) results for a relaxed ThSc2C2 crystal.

Values from the calculation:
Magnetic moment (μB/cell): 0.00
E_form (eV/atom): -0.3032

a b c (Å): 3.5275 3.5275 27.0618
angles (deg): 90.00 90.00 120.00
Space group R-3m (No. 166, hexagonal axes)
One atom of each set of equivalent atoms:
Th 0.0000 0.0000 0.0000 x3
Sc 0.0000 0.0000 0.2315 x6
C 0.0000 0.0000 0.3980 x6



2.
DFT (GGA-PBE) results for a relaxed La5PrIn crystal.

Values from the calculation:
Magnetic moment (μB/cell): 0.00
E_form (eV/atom): -0.0232

a b c (Å): 11.6998 6.9521 11.8133
angles (deg): 90.00 92.99 90.00
Space group C2/c (No. 15)
One atom of each set of equivalent atoms:
La 0.0000 0.1868 0.2500 x4
La 0.1506 0.4784 0.0087 x8
La 0.2482 0.1571 0.7104 x8
Pr 0.0000 0.0000 0.0000 x4
In 0.0000 0.3392 0.7500 x4



3.
DFT (GGA-PBE) results for a relaxed ScAgTe2O8 crystal.

Values from the calculation:
Magnetic moment (μB/cell): 0.00
Energy relative to the elements, uncorrected (meV per atom): -1282

a b c (Å): 6.8139 7.2963 6.3200
angles (deg): 90.00 90.00 90.00
Space group Cmmm (No. 65)
One atom of each set of equivalent atoms:
Sc 0.0000 0.0000 0.0000 x2
Ag 0.0000 0.0000 0.5000 x2
Te 0.0000 0.5000 0.2491 x4
O 0.0000 0.3132 0.0000 x4
O 0.0000 0.3263 0.5000 x4
O 0.2202 0.0000 0.2306 x8